! PBE+U UNiSbO6, optimized geometry; values from VASP
! space-group type: No. 163
! crystal system: trigonal
! electronic total energy: -7.181 eV/atom
&SYSTEM
  ibrav = 0, nat = 18, ntyp = 4
/
ATOMIC_SPECIES
O 16.00 O.upf
Ni 58.69 Ni.upf
Sb 121.76 Sb.upf
U 238.03 U.upf
ATOMIC_POSITIONS crystal
O 0.650 0.671 0.629
Ni 0.000 0.000 0.000
Sb 0.667 0.333 0.250
O 0.650 0.979 0.871
U 0.667 0.333 0.750
O 0.329 0.979 0.629
O 0.979 0.650 0.371
O 0.671 0.650 0.129
O 0.671 0.021 0.371
O 0.021 0.350 0.629
Sb 0.333 0.667 0.750
Ni 0.000 0.000 0.500
O 0.350 0.329 0.371
U 0.333 0.667 0.250
O 0.350 0.021 0.129
O 0.979 0.329 0.129
O 0.021 0.671 0.871
O 0.329 0.350 0.871
CELL_PARAMETERS angstrom
-5.251 -0.351 -1.384
3.848 -1.604 -3.497
-0.347 -8.274 3.414